No. 1
Density functional theory data (PBE-GGA) for a geometry-optimized Ba2ScPdN structure.

abc: 6.272 6.272 4.637
angles: 90.00 90.00 90.00
Space group P4/mmm (No. 123)
Inequivalent atoms, fractional coordinates:
Ba  0.000  0.500  0.000 (multiplicity 2)
Sc  0.000  0.000  0.000 (multiplicity 1)
Pd  0.000  0.000  0.500 (multiplicity 1)
N  0.500  0.500  0.500 (multiplicity 1)

Computed properties:
* calculated volume: 182.39 Å³/f.u.
* formation energy from raw total energies: 1113 meV/atom


No. 2
Density functional theory data (PBE-GGA) for a geometry-optimized Ba2SnPdN structure.

abc: 6.065 6.065 3.874
angles: 90.00 90.00 90.00
Space group P4/mmm (No. 123)
Inequivalent atoms, fractional coordinates:
Ba  0.000  0.500  0.000 (multiplicity 2)
Sn  0.000  0.000  0.500 (multiplicity 1)
Pd  0.500  0.500  0.500 (multiplicity 1)
N  0.500  0.500  0.000 (multiplicity 1)

Computed properties:
* calculated volume: 142.51 Å³/f.u.
* formation energy from raw total energies: -395 meV/atom


No. 3
Density functional theory data (PBE-GGA) for a geometry-optimized BaTePdN2 structure.

abc: 4.515 4.515 7.235
angles: 90.00 90.00 90.00
Space group P4/mmm (No. 123)
Inequivalent atoms, fractional coordinates:
Ba  0.000  0.000  0.000 (multiplicity 1)
Te  0.000  0.000  0.500 (multiplicity 1)
Pd  0.500  0.500  0.500 (multiplicity 1)
N  0.000  0.500  0.000 (multiplicity 2)

Computed properties:
* calculated volume: 147.48 Å³/f.u.
* polymorph energy (0 for the lowest one): 21.77 kcal/mol of atoms
* formation energy from raw total energies: 1736 meV/atom


No. 4
Density functional theory data (PBE-GGA) for a geometry-optimized BaTePdN2 structure.

abc: 4.525 4.525 5.433
angles: 90.00 90.00 90.00
Space group P4/mmm (No. 123)
Inequivalent atoms, fractional coordinates:
Ba  0.000  0.000  0.000 (multiplicity 1)
Te  0.500  0.500  0.000 (multiplicity 1)
Pd  0.500  0.500  0.500 (multiplicity 1)
N  0.000  0.500  0.500 (multiplicity 2)

Computed properties:
* calculated volume: 111.26 Å³/f.u.
* polymorph energy (0 for the lowest one): 0.00 kcal/mol of atoms
* formation energy from raw total energies: 792 meV/atom


No. 5
Density functional theory data (PBE-GGA) for a geometry-optimized BaTh2PdN4 structure.

abc: 3.830 12.104 12.632
angles: 90.00 90.00 90.00
Space group Cmcm (No. 63)
Inequivalent atoms, fractional coordinates:
Ba  0.000  0.092  0.250 (multiplicity 4)
Th  0.000  0.365  0.055 (multiplicity 8)
Pd  0.000  0.183  0.750 (multiplicity 4)
N  0.000  0.000  0.000 (multiplicity 4)
N  0.000  0.251  0.596 (multiplicity 8)
N  0.000  0.396  0.250 (multiplicity 4)

Computed properties:
* calculated volume: 146.41 Å³/f.u.
* formation energy from raw total energies: -935 meV/atom


No. 6
Density functional theory data (PBE-GGA) for a geometry-optimized Ba2PdWN structure.

abc: 6.145 6.145 4.773
angles: 90.00 90.00 90.00
Space group P4/mmm (No. 123)
Inequivalent atoms, fractional coordinates:
Ba  0.000  0.500  0.000 (multiplicity 2)
Pd  0.000  0.000  0.000 (multiplicity 1)
W  0.000  0.000  0.500 (multiplicity 1)
N  0.500  0.500  0.500 (multiplicity 1)

Computed properties:
* calculated volume: 180.20 Å³/f.u.
* polymorph energy (0 for the lowest one): 34.28 kcal/mol of atoms
* formation energy from raw total energies: 1480 meV/atom


No. 7
Density functional theory data (PBE-GGA) for a geometry-optimized Ba2PdWN structure.

abc: 5.829 5.829 3.940
angles: 90.00 90.00 90.00
Space group P4/mmm (No. 123)
Inequivalent atoms, fractional coordinates:
Ba  0.000  0.500  0.000 (multiplicity 2)
Pd  0.000  0.000  0.500 (multiplicity 1)
W  0.500  0.500  0.500 (multiplicity 1)
N  0.500  0.500  0.000 (multiplicity 1)

Computed properties:
* calculated volume: 133.86 Å³/f.u.
* polymorph energy (0 for the lowest one): 0.00 kcal/mol of atoms
* formation energy from raw total energies: -7 meV/atom


No. 8
Density functional theory data (PBE-GGA) for a geometry-optimized BaPmN structure.

abc: 3.8042 3.8042 6.9870
angles: 90.00 90.00 120.00
Space group P3m1 (No. 156)
Inequivalent atoms, fractional coordinates:
Ba  0.0000  0.0000  0.0000 (multiplicity 1)
Pm  0.3333  0.6667  0.5749 (multiplicity 1)
N  0.6667  0.3333  0.7038 (multiplicity 1)

Computed properties:
* calculated volume: 87.57 Å³/f.u.
* polymorph energy (0 for the lowest one): 0.00 kcal/mol of atoms
* formation energy from raw total energies: -662 meV/atom